KMn2Cl after structural relaxation, computed with PBE-GGA.

Computed properties:
E_form (uncorrected)   0.919 eV per atom
Density of states at the Fermi level   8.769 states/eV/f.u.
E above lowest polymorph   868.3 meV/atom
Magnetic moment   9.960 μB per cell

a = 5.499 Å, b = 5.499 Å, c = 5.499 Å
α = 60.00°, β = 60.00°, γ = 60.00°
Sites, in units of the cell vectors:
Mn 0.250 0.250 0.250
Mn 0.750 0.750 0.750
Cl 0.000 0.000 0.000
K 0.500 0.500 0.500

LiTlAgF6 after structural relaxation, computed with PBE-GGA.

Computed properties:
E_form (uncorrected)   -1.804 eV per atom
Density of states at the Fermi level   4.415 states/eV/f.u.
Magnetic moment   2.038 μB per cell

a = 5.527 Å, b = 5.527 Å, c = 9.513 Å
α = 90.00°, β = 90.00°, γ = 120.00°
Sites, in units of the cell vectors:
Tl 0.667 0.333 0.250
Tl 0.333 0.667 0.750
F 0.333 0.982 0.132
F 0.018 0.667 0.368
F 0.667 0.649 0.632
F 0.649 0.667 0.132
F 0.351 0.018 0.632
F 0.351 0.333 0.868
F 0.982 0.333 0.632
F 0.018 0.351 0.132
F 0.667 0.018 0.868
F 0.333 0.351 0.368
F 0.982 0.649 0.868
F 0.649 0.982 0.368
Li 0.333 0.667 0.250
Li 0.667 0.333 0.750
Ag 0.000 0.000 0.500
Ag 0.000 0.000 0.000

Na2Np3PdSe6 after structural relaxation, computed with PBE-GGA.

Computed properties:
E_form (uncorrected)   -1.009 eV per atom
Density of states at the Fermi level   30.852 states/eV/f.u.
Magnetic moment   10.994 μB per cell

a = 7.250 Å, b = 7.250 Å, c = 6.938 Å
α = 99.90°, β = 99.90°, γ = 120.01°
Sites, in units of the cell vectors:
Se 0.244 0.244 0.743
Se 0.419 0.088 0.261
Se 0.088 0.419 0.261
Se 0.756 0.756 0.257
Se 0.581 0.912 0.739
Se 0.912 0.581 0.739
Pd 0.000 0.000 0.000
Na 0.332 0.668 0.000
Na 0.668 0.332 0.000
Np 0.165 0.835 0.500
Np 0.500 0.500 0.500
Np 0.835 0.165 0.500

CdReNi2 after structural relaxation, computed with PBE-GGA.

Computed properties:
ΔE_f   0.2961 eV per atom
Density of states at the Fermi level   3.562 states/eV/f.u.
Magnetic moment   0.000 μB per cell

a = 4.429 Å, b = 4.429 Å, c = 5.196 Å
α = 83.83°, β = 83.83°, γ = 34.99°
Sites, in units of the cell vectors:
Ni 0.496 0.496 0.546
Ni 0.004 0.004 0.954
Re 0.750 0.750 0.750
Cd 0.250 0.250 0.250

CaZnSeN2 after structural relaxation, computed with PBE-GGA.

Computed properties:
E_form (uncorrected)   1.234 eV per atom
Density of states at the Fermi level   1.793 states/eV/f.u.
E above lowest polymorph   655.5 meV/atom
Magnetic moment   4.380 μB per cell

a = 4.492 Å, b = 4.492 Å, c = 5.944 Å
α = 90.00°, β = 90.00°, γ = 90.00°
Sites, in units of the cell vectors:
Ca 0.000 0.000 0.000
N 0.500 0.000 0.000
N 0.000 0.500 0.000
Se 0.000 0.000 0.500
Zn 0.500 0.500 0.500

Cr2MoRh after structural relaxation, computed with PBE-GGA.

Computed properties:
ΔE_f   0.1358 eV per atom
Density of states at the Fermi level   3.988 states/eV/f.u.
Magnetic moment   0.000 μB per cell

a = 2.622 Å, b = 2.622 Å, c = 8.107 Å
α = 90.00°, β = 90.00°, γ = 103.51°
Sites, in units of the cell vectors:
Cr 0.000 0.000 0.510
Cr 0.000 0.000 0.990
Rh 0.500 0.500 0.750
Mo 0.500 0.500 0.250

NaLi2Tl9 after structural relaxation, computed with PBE-GGA.

Computed properties:
ΔE_f   -0.0648 eV per atom
Density of states at the Fermi level   6.480 states/eV/f.u.
Magnetic moment   0.000 μB per cell

a = 4.788 Å, b = 4.788 Å, c = 14.486 Å
α = 90.00°, β = 90.00°, γ = 90.00°
Sites, in units of the cell vectors:
Na 0.000 0.000 0.000
Tl 0.500 0.500 0.337
Tl 0.000 0.500 0.825
Tl 0.500 0.500 0.000
Tl 0.000 0.500 0.175
Tl 0.500 0.500 0.663
Tl 0.500 0.000 0.825
Tl 0.500 0.000 0.500
Tl 0.000 0.500 0.500
Tl 0.500 0.000 0.175
Li 0.000 0.000 0.339
Li 0.000 0.000 0.661

La8SiTe4S3 after structural relaxation, computed with PBE-GGA.

Computed properties:
E_form (uncorrected)   -1.751 eV per atom
Density of states at the Fermi level   8.725 states/eV/f.u.
Magnetic moment   0.000 μB per cell

a = 8.688 Å, b = 8.958 Å, c = 8.689 Å
α = 119.02°, β = 119.99°, γ = 90.00°
Sites, in units of the cell vectors:
Si 0.000 0.500 0.000
La 0.761 0.283 0.021
La 0.740 0.717 0.979
La 0.737 0.713 0.474
La 0.260 0.283 0.021
La 0.239 0.717 0.979
La 0.761 0.285 0.522
La 0.263 0.287 0.526
La 0.239 0.715 0.478
S 0.500 0.500 0.500
S 0.500 0.500 0.000
S 0.000 0.500 0.500
Te 0.500 0.000 0.500
Te 0.000 0.000 0.500
Te 0.500 0.000 0.000
Te 0.000 0.000 0.000

- What is the formula in the third record?
  Na2Np3PdSe6

- Number 4 is which compound?
  CdReNi2

- Number 1 is which compound?
  KMn2Cl

- Look up the magnetic moment of the sixth one.
  0.000 μB per cell